Record 1
VASP calculation (PBE) on a relaxed HfCdSi2Mo crystal.

Unit cell a=4.726 b=5.095 c=4.726 alpha=90.00 beta=90.00 gamma=90.00
Sites, in units of the cell vectors:
Cd: 0.000 0.000 0.000
Hf: 0.500 0.500 0.500
Si: 0.000 0.000 0.500
Si: 0.500 0.000 0.000
Mo: 0.000 0.500 0.000

Computed properties:
V, Å³ per atom: 22.76

***

Record 2
VASP calculation (PBE) on a relaxed Cr3BCl crystal.

Unit cell a=4.030 b=4.030 c=4.030 alpha=90.00 beta=90.00 gamma=90.00
Sites, in units of the cell vectors:
Cl: 0.000 0.000 0.000
B: 0.500 0.500 0.500
Cr: 0.500 0.000 0.000
Cr: 0.000 0.000 0.500
Cr: 0.000 0.500 0.000

Computed properties:
V, Å³ per atom: 13.09

***

Record 3
VASP calculation (PBE) on a relaxed Sr3C2O7 crystal.

Unit cell a=3.644 b=3.868 c=11.129 alpha=100.01 beta=90.00 gamma=90.00
Sites, in units of the cell vectors:
O: 0.500 0.897 0.793
O: 0.000 0.602 0.204
O: 0.000 0.187 0.373
O: 0.500 0.103 0.207
O: 0.000 0.000 0.000
O: 0.000 0.398 0.796
O: 0.000 0.813 0.627
C: 0.000 0.128 0.255
C: 0.000 0.872 0.745
Sr: 0.500 0.331 0.661
Sr: 0.500 0.669 0.339
Sr: 0.500 0.500 0.000

Computed properties:
V, Å³ per atom: 12.87

***

Record 4
VASP calculation (PBE) on a relaxed Cu2BSbTe crystal.

Unit cell a=4.758 b=6.183 c=4.758 alpha=90.00 beta=90.00 gamma=90.00
Sites, in units of the cell vectors:
Cu: 0.500 0.000 0.000
Cu: 0.000 0.000 0.500
Te: 0.000 0.500 0.000
B: 0.500 0.500 0.500
Sb: 0.000 0.000 0.000

Computed properties:
V, Å³ per atom: 28.00
ΔE to the lowest computed polymorph, meV/atom: 0

***

Total energy: -24.353 -30.086 -71.116 -15.339 (eV/f.u.)